A relaxed structure of HfGe3W, computed with PBE.

a b c (Å): 4.964 4.964 4.964
angles (deg): 90.00 90.00 90.00
Positions (direct):
Ge1 0.000 0.500 0.000
Ge2 0.000 0.000 0.500
Ge3 0.500 0.000 0.000
Hf1 0.000 0.000 0.000
W1 0.500 0.500 0.500

Output
- Calculated volume: 122.3 Å³ per cell
- Total magnetic moment: 0.25 μB per cell
- D(E_F): 7.95 states/eV/cell
- ΔH_f (0 K): 8.260 eV per formula unit
- Theoretical density: 7.88 g/cm3
- Symmetry: Pm-3m
- Excess energy over the best structure of this formula in the dataset: 878.8 meV/atom